Li3Nd2ZnGe4 after structural relaxation. Source: the Alexandria database, functional PBE-GGA.

a = 4.178 Å, b = 4.178 Å, c = 10.744 Å
α = 90.00°, β = 90.00°, γ = 90.00°
Fractional positions:
Li: 0.000 0.000 0.000
Li: 0.000 0.500 0.632
Li: 0.500 0.000 0.368
Nd: 0.000 0.500 0.253
Nd: 0.500 0.000 0.747
Zn: 0.500 0.500 0.000
Ge: 0.000 0.000 0.500
Ge: 0.000 0.500 0.858
Ge: 0.500 0.000 0.142
Ge: 0.500 0.500 0.500

Output
Its energy is -4.059 eV per atom. As for the energy relative to the elements: -537 kJ/mol of formula units.